Record 1
A plane-wave DFT calculation with GGA-PBE was carried out for Hf2Ni2Ru after structural relaxation.

Computed properties:
The formation energy from the elements comes out at -0.439 eV/atom.

Geometry as CIF:
```
data_Hf2Ni2Ru
_chemical_formula_sum 'Hf4 Ni4 Ru2'
_space_group_name_H-M_alt 'P 4/m b m'
_space_group_IT_number 127
_space_group_name_Hall '-P 4 2ab'
_cell_length_a 6.855
_cell_length_b 6.855
_cell_length_c 3.307
_cell_angle_alpha 90.00
_cell_angle_beta 90.00
_cell_angle_gamma 90.00
loop_
_atom_site_label
_atom_site_type_symbol
_atom_site_fract_x
_atom_site_fract_y
_atom_site_fract_z
_atom_site_occupancy
Hf1 Hf 0.183 0.317 0.000 1
Ni1 Ni 0.120 0.620 0.500 1
Ru1 Ru 0.000 0.000 0.500 1
```

Record 2
A plane-wave DFT calculation with GGA-PBE was carried out for HfNiRu3 after structural relaxation.

Computed properties:
For the energy above the most stable polymorph in this dataset, the calculation gives 0.9575 eV per atom. The formation energy from the elements comes out at 1.835 eV/atom.

Geometry as CIF:
```
data_HfNiRu3
_chemical_formula_sum 'Hf1 Ni1 Ru3'
_space_group_name_H-M_alt 'P m -3 m'
_space_group_IT_number 221
_space_group_name_Hall '-P 4 2 3'
_cell_length_a 4.725
_cell_length_b 4.725
_cell_length_c 4.725
_cell_angle_alpha 90.00
_cell_angle_beta 90.00
_cell_angle_gamma 90.00
loop_
_atom_site_label
_atom_site_type_symbol
_atom_site_fract_x
_atom_site_fract_y
_atom_site_fract_z
_atom_site_occupancy
Hf1 Hf 0.000 0.000 0.000 1
Ni1 Ni 0.500 0.500 0.500 1
Ru1 Ru 0.000 0.000 0.500 1
```

Record 3
A plane-wave DFT calculation with GGA-PBE was carried out for HfNi3Ru after structural relaxation.

Computed properties:
For the energy above the most stable polymorph in this dataset, the calculation gives 0.0000 eV per atom. The formation energy from the elements comes out at 0.913 eV/atom.

Geometry as CIF:
```
data_HfNi3Ru
_chemical_formula_sum 'Hf1 Ni3 Ru1'
_space_group_name_H-M_alt 'P m -3 m'
_space_group_IT_number 221
_space_group_name_Hall '-P 4 2 3'
_cell_length_a 4.416
_cell_length_b 4.416
_cell_length_c 4.416
_cell_angle_alpha 90.00
_cell_angle_beta 90.00
_cell_angle_gamma 90.00
loop_
_atom_site_label
_atom_site_type_symbol
_atom_site_fract_x
_atom_site_fract_y
_atom_site_fract_z
_atom_site_occupancy
Hf1 Hf 0.000 0.000 0.000 1
Ni1 Ni 0.000 0.500 0.500 1
Ru1 Ru 0.500 0.500 0.500 1
```

Record 4
A plane-wave DFT calculation with GGA-PBE was carried out for Hf4NiRu3 after structural relaxation.

Computed properties:
The formation energy from the elements comes out at -0.693 eV/atom.

Geometry as CIF:
```
data_Hf4NiRu3
_chemical_formula_sum 'Hf4 Ni1 Ru3'
_space_group_name_H-M_alt 'P m m m'
_space_group_IT_number 47
_cell_length_a 3.212
_cell_length_b 4.585
_cell_length_c 9.173
_cell_angle_alpha 90.00
_cell_angle_beta 90.00
_cell_angle_gamma 90.00
loop_
_space_group_symop_operation_xyz
'x,y,z'
'-x,-y,-z'
'-x,-y,z'
'x,y,-z'
'x,-y,-z'
'-x,y,z'
'-x,y,-z'
'x,-y,z'
loop_
_atom_site_label
_atom_site_type_symbol
_atom_site_fract_x
_atom_site_fract_y
_atom_site_fract_z
_atom_site_occupancy
Hf1 Hf 0.000 0.000 0.000 1
Hf2 Hf 0.000 0.000 0.500 1
Hf3 Hf 0.000 0.500 0.247 1
Ni1 Ni 0.500 0.500 0.000 1
Ru1 Ru 0.500 0.000 0.249 1
Ru2 Ru 0.500 0.500 0.500 1
```

Record 5
A plane-wave DFT calculation with GGA-PBE was carried out for HfNi3Ru after structural relaxation.

Computed properties:
For the energy above the most stable polymorph in this dataset, the calculation gives 0.5165 eV per atom. The formation energy from the elements comes out at 1.430 eV/atom.

Geometry as CIF:
```
data_HfNi3Ru
_chemical_formula_sum 'Hf1 Ni3 Ru1'
_space_group_name_H-M_alt 'P m -3 m'
_space_group_IT_number 221
_space_group_name_Hall '-P 4 2 3'
_cell_length_a 4.442
_cell_length_b 4.442
_cell_length_c 4.442
_cell_angle_alpha 90.00
_cell_angle_beta 90.00
_cell_angle_gamma 90.00
loop_
_atom_site_label
_atom_site_type_symbol
_atom_site_fract_x
_atom_site_fract_y
_atom_site_fract_z
_atom_site_occupancy
Hf1 Hf 0.000 0.000 0.000 1
Ni1 Ni 0.000 0.000 0.500 1
Ru1 Ru 0.500 0.500 0.500 1
```

Record 6
A plane-wave DFT calculation with GGA-PBE was carried out for Hf4NiRu after structural relaxation.

Computed properties:
The formation energy from the elements comes out at -0.129 eV/atom.

Geometry as CIF:
```
data_Hf4NiRu
_chemical_formula_sum 'Hf8 Ni2 Ru2'
_space_group_name_H-M_alt 'C 1 2/m 1'
_space_group_IT_number 12
_cell_length_a 14.023
_cell_length_b 3.225
_cell_length_c 5.446
_cell_angle_alpha 90.00
_cell_angle_beta 111.81
_cell_angle_gamma 90.00
loop_
_space_group_symop_operation_xyz
'x,y,z'
'-x,-y,-z'
'-x,y,-z'
'x,-y,z'
'x+1/2,y+1/2,z'
'-x+1/2,-y+1/2,-z'
'-x+1/2,y+1/2,-z'
'x+1/2,-y+1/2,z'
loop_
_atom_site_label
_atom_site_type_symbol
_atom_site_fract_x
_atom_site_fract_y
_atom_site_fract_z
_atom_site_occupancy
Hf1 Hf 0.152 0.000 0.488 1
Hf2 Hf 0.153 0.500 0.983 1
Ni1 Ni 0.000 0.500 0.500 1
Ru1 Ru 0.000 0.000 0.000 1
```

Record 7
A plane-wave DFT calculation with GGA-PBE was carried out for HfScNiRu after structural relaxation.

Computed properties:
The formation energy from the elements comes out at -0.596 eV/atom.

Geometry as CIF:
```
data_HfScNiRu
_chemical_formula_sum 'Hf4 Sc4 Ni4 Ru4'
_space_group_name_H-M_alt 'F -4 3 m'
_space_group_IT_number 216
_space_group_name_Hall 'F -4 2 3'
_cell_length_a 6.414
_cell_length_b 6.414
_cell_length_c 6.414
_cell_angle_alpha 90.00
_cell_angle_beta 90.00
_cell_angle_gamma 90.00
loop_
_atom_site_label
_atom_site_type_symbol
_atom_site_fract_x
_atom_site_fract_y
_atom_site_fract_z
_atom_site_occupancy
Hf1 Hf 0.000 0.000 0.000 1
Sc1 Sc 0.000 0.000 0.500 1
Ni1 Ni 0.250 0.250 0.750 1
Ru1 Ru 0.250 0.250 0.250 1
```

Record 8
A plane-wave DFT calculation with GGA-PBE was carried out for SmHfNiRu after structural relaxation.

Computed properties:
The formation energy from the elements comes out at -0.322 eV/atom.

Geometry as CIF:
```
data_SmHfNiRu
_chemical_formula_sum 'Sm4 Hf4 Ni4 Ru4'
_space_group_name_H-M_alt 'F -4 3 m'
_space_group_IT_number 216
_space_group_name_Hall 'F -4 2 3'
_cell_length_a 6.679
_cell_length_b 6.679
_cell_length_c 6.679
_cell_angle_alpha 90.00
_cell_angle_beta 90.00
_cell_angle_gamma 90.00
loop_
_atom_site_label
_atom_site_type_symbol
_atom_site_fract_x
_atom_site_fract_y
_atom_site_fract_z
_atom_site_occupancy
Sm1 Sm 0.000 0.000 0.000 1
Hf1 Hf 0.000 0.000 0.500 1
Ni1 Ni 0.250 0.250 0.750 1
Ru1 Ru 0.250 0.250 0.250 1
```